Record 1
Sm2TmGa4Pd3 | PBE-GGA | optimized geometry

Calculated values
Formation energy from the elements = -7.3 eV per formula unit
Total magnetization = 0.0 μB per formula unit
Energy = -4.890 eV per atom
DOS at the Fermi energy = 7.88 states/eV/cell

abc: 4.166 4.166 11.917
angles: 90.00 90.00 90.00
Space group P-4m2 (No. 115)
Unique sites:
Sm 0.000 0.500 0.228 x2
Tm 0.000 0.000 0.500 x1
Ga 0.000 0.000 0.000 x1
Ga 0.000 0.500 0.665 x2
Ga 0.500 0.500 0.000 x1
Pd 0.000 0.500 0.873 x2
Pd 0.500 0.500 0.500 x1

=====

Record 2
BeWCl2 | PBE-GGA | optimized geometry

Calculated values
Uncorrected formation energy = 0.758 eV per atom
Total magnetization = 0.3 μB per formula unit
E above lowest polymorph = 937 meV/atom
Energy = -4.336 eV per atom
DOS at the Fermi energy = 5.54 states/eV/cell

abc: 5.565 8.403 2.902
angles: 90.00 109.07 90.00
Space group C2/m (No. 12)
Unique sites:
Be 0.000 0.000 0.000 x2
W 0.000 0.500 0.000 x2
Cl 0.250 0.250 0.000 x4